## one
VASP calculation (PBE) on a relaxed SbSI2F crystal.

Space group: P4/mmm
Total magnetization: 0.59 μB/cell
N(E_F): 7.18 states/eV/f.u.

Cell and atoms, written as POSCAR:
```
SbSI2F
1.0
5.462 0.000 0.000
0.000 5.462 0.000
0.000 0.000 5.269
S Sb I F
1 1 2 1
direct
0.000 0.000 0.000
0.000 0.000 0.500
0.500 0.000 0.000
0.000 0.500 0.000
0.500 0.500 0.500
```

## two
VASP calculation (PBE) on a relaxed SbSI2F crystal.

Space group: P4/mmm
Total magnetization: 2.23 μB/cell
N(E_F): 3.03 states/eV/f.u.

Cell and atoms, written as POSCAR:
```
SbSI2F
1.0
5.975 0.000 0.000
0.000 5.975 0.000
0.000 0.000 4.228
S F I Sb
1 1 2 1
direct
0.500 0.500 0.500
0.000 0.000 0.000
0.000 0.500 0.000
0.500 0.000 0.000
0.000 0.000 0.500
```

Best to worst by energy: two, one.